A relaxed structure of DyYPt. Source: the Alexandria database, functional PBE.

Energy relative to the elements = -234 kJ/mol of formula units
Energy relative to the lowest polymorph listed for this composition = 5.5 kJ/mol of atoms
Volume = 148.7 Å³ per cell
Crystal system = orthorhombic

Cell lengths 3.6263, 5.1511, 8.1663 Å; angles 90.00, 102.83, 90.00 degrees
Positions (direct):
Dy 0.7821 0.7500 0.5642
Y 0.0726 0.7500 0.1452
Pt 0.5767 0.2500 0.1534
Pt 0.4233 0.7500 0.8466
Y 0.9274 0.2500 0.8548
Dy 0.2179 0.2500 0.4358